## LaAgAs2 (PBE-GGA)

Data for LaAgAs2 after structural relaxation.

Properties
magnetic moment = 0.0 μB per cell
density = 7.3 Mg/m³
E_form = -1.41 eV/f.u.
VASP energy = -4.62 eV/atom
density of states at the Fermi level = 3.12 states/eV/f.u.

Cell: 3.192 4.066 6.959 Å, 90.00 90.00 90.00°
Space group Pmmm (No. 47)
Unique sites:
La1 0.000 0.000 0.000 [1 per cell]
Ag1 0.000 0.000 0.500 [1 per cell]
As1 0.500 0.500 0.268 [2 per cell]